A relaxed structure of Ca2Tl2Ga. Source: Alexandria via LeMat-Bulk, functional PBE.

The structure in POSCAR format:
```
Ca2Tl2Ga
1.0
7.6520 0.0000 0.0000
0.0000 7.6520 0.0000
0.0000 0.0000 4.9330
Ca Tl Ga
4 4 2
Cartesian
1.2924 2.5336 0.0000
2.5336 6.3596 0.0000
5.1185 1.2924 0.0000
6.3596 5.1185 0.0000
1.0774 4.9034 2.4665
2.7487 1.0774 2.4665
4.9034 6.5747 2.4665
6.5747 2.7487 2.4665
0.0000 0.0000 2.4665
3.8260 3.8260 2.4665
```

## Properties
electronic total energy	-13.10	eV/f.u.
M_tot	0.00	Bohr magnetons per cell
energy of formation	-267	meV/atom

A relaxed structure of YScCr2Au. Source: Alexandria via LeMat-Bulk, functional PBE.

The structure in POSCAR format:
```
YScCr2Au
1.0
4.8216 0.0000 0.0000
0.0000 4.8216 0.0000
0.0000 0.0000 5.1436
Y Sc Cr Au
1 1 2 1
Cartesian
0.0000 0.0000 0.0000
0.0000 0.0000 2.5718
0.0000 2.4108 0.0000
2.4108 0.0000 0.0000
2.4108 2.4108 2.5718
```

## Properties
electronic total energy	-27.46	eV/f.u.
M_tot	6.65	Bohr magnetons per cell
energy of formation	1573	meV/atom

A relaxed structure of CoCu2Pt. Source: Alexandria via LeMat-Bulk, functional PBE.

The structure in POSCAR format:
```
CoCu2Pt
1.0
5.9078 0.0000 0.0000
0.0000 5.9078 0.0000
0.0000 0.0000 5.9078
Co Cu Pt
4 8 4
Cartesian
0.0000 0.0000 0.0000
0.0000 2.9539 2.9539
2.9539 0.0000 2.9539
2.9539 2.9539 0.0000
0.0000 0.0000 2.9539
0.0000 2.9539 0.0000
1.4769 1.4769 4.4308
1.4769 4.4308 1.4769
2.9539 0.0000 0.0000
2.9539 2.9539 2.9539
4.4308 1.4769 1.4769
4.4308 4.4308 4.4308
1.4769 1.4769 1.4769
1.4769 4.4308 4.4308
4.4308 1.4769 4.4308
4.4308 4.4308 1.4769
```

## Properties
electronic total energy	-21.16	eV/f.u.
M_tot	8.59	Bohr magnetons per cell
energy of formation	46	meV/atom

A relaxed structure of KCu3F. Source: Alexandria via LeMat-Bulk, functional PBE.

The structure in POSCAR format:
```
KCu3F
1.0
4.5252 0.0000 0.0000
0.0000 4.5252 0.0000
0.0000 0.0000 4.5252
K Cu F
1 3 1
Cartesian
0.0000 0.0000 0.0000
0.0000 2.2626 2.2626
2.2626 0.0000 2.2626
2.2626 2.2626 0.0000
2.2626 2.2626 2.2626
```

## Properties
electronic total energy	-13.81	eV/f.u.
M_tot	0.00	Bohr magnetons per cell
formation energy from raw total energies	290	meV per atom